Entry 1:
A plane-wave DFT calculation with PBE-GGA was carried out for a geometry-optimized ReTc2Ru structure.

## Properties
The space-group type is Pmmm. The total DFT energy (no corrections) is -10.546 eV per atom. The calculation puts the formation energy at 0.07 eV per atom.

a = 2.736 Å, b = 3.868 Å, c = 5.500 Å
α = 90.00°, β = 90.00°, γ = 90.00°
Element x y z (fractional)
Re (0.500, 0.500, 0.250)
Ru (0.500, 0.500, 0.750)
Tc (0.000, 0.000, 0.997)
Tc (0.000, 0.000, 0.503)

***

Entry 2:
A plane-wave DFT calculation with PBE-GGA was carried out for a geometry-optimized ReTc4Ru2 structure.

## Properties
The space-group type is Cm. The total DFT energy (no corrections) is -10.152 eV per atom. The calculation puts the formation energy at 0.20 eV per atom.

a = 6.541 Å, b = 6.541 Å, c = 4.825 Å
α = 130.24°, β = 112.51°, γ = 103.96°
Element x y z (fractional)
Re (0.044, 0.946, 0.990)
Tc (0.404, 0.458, 0.243)
Tc (0.214, 0.562, 0.776)
Tc (0.785, 0.839, 0.243)
Tc (0.718, 0.152, 0.870)
Ru (0.653, 0.257, 0.439)
Ru (0.182, 0.786, 0.439)